1.
An optimized crystal structure of CdMo2P. Source: Alexandria, functional GGA-PBE.

Unit cell a=3.012 b=3.012 c=7.107 alpha=90.00 beta=90.00 gamma=90.00
Atoms (fractional coordinates):
Cd 0.000 0.000 0.000
Mo 0.500 0.500 0.311
Mo 0.500 0.500 0.689
P 0.000 0.000 0.500

Computed properties:
Calculated formation energy   0 kJ/mol of atoms
Symmetry   No. 123
Energy relative to the lowest polymorph listed for this composition   0.00 kcal/mol of atoms
Magnetization   0.000 μB per cell

---

2.
An optimized crystal structure of NaPmAs2O8. Source: Alexandria, functional GGA-PBE.

Unit cell a=6.897 b=6.897 c=6.897 alpha=135.86 beta=135.86 gamma=64.20
Atoms (fractional coordinates):
Na 0.000 0.000 0.000
Pm 0.750 0.250 0.500
As 0.250 0.750 0.500
As 0.500 0.500 0.000
O 0.033 0.921 0.607
O 0.079 0.686 0.111
O 0.172 0.289 0.625
O 0.314 0.426 0.393
O 0.452 0.828 0.117
O 0.574 0.967 0.889
O 0.665 0.548 0.375
O 0.711 0.335 0.883

Computed properties:
Raw formation energy   -19.0 eV/f.u.
Symmetry   No. 82
Magnetization   2.031 μB per cell

---

3.
An optimized crystal structure of Li3Ni2Sn3. Source: Alexandria, functional GGA-PBE.

Unit cell a=7.845 b=7.845 c=7.845 alpha=33.16 beta=33.16 gamma=33.16
Atoms (fractional coordinates):
Li 0.000 0.000 0.000
Li 0.122 0.122 0.122
Li 0.499 0.499 0.499
Ni 0.250 0.250 0.250
Ni 0.740 0.740 0.740
Sn 0.381 0.381 0.381
Sn 0.621 0.621 0.621
Sn 0.863 0.863 0.863

Computed properties:
Calculated formation energy   -27 kJ/mol of atoms
Symmetry   No. 160
Energy relative to the lowest polymorph listed for this composition   0.13 kcal/mol of atoms
Magnetization   0.000 μB per cell

---

4.
An optimized crystal structure of Nd7Tl2Ag2. Source: Alexandria, functional GGA-PBE.

Unit cell a=7.087 b=7.087 c=7.642 alpha=90.00 beta=90.00 gamma=108.42
Atoms (fractional coordinates):
Nd 0.000 0.000 0.000
Nd 0.000 0.500 0.274
Nd 0.000 0.500 0.726
Nd 0.500 0.000 0.274
Nd 0.500 0.000 0.726
Nd 0.500 0.500 0.253
Nd 0.500 0.500 0.747
Tl 0.177 0.177 0.500
Tl 0.823 0.823 0.500
Ag 0.287 0.713 0.000
Ag 0.713 0.287 0.000

Computed properties:
Calculated formation energy   1 kJ/mol of atoms
Symmetry   No. 65
Magnetization   0.000 μB per cell

---

5.
An optimized crystal structure of CaNdGe2. Source: Alexandria, functional GGA-PBE.

Unit cell a=3.387 b=3.387 c=8.449 alpha=90.00 beta=90.00 gamma=90.00
Atoms (fractional coordinates):
Ca 0.000 0.000 0.000
Nd 0.000 0.000 0.500
Ge 0.500 0.500 0.248
Ge 0.500 0.500 0.752

Computed properties:
Calculated formation energy   -55 kJ/mol of atoms
Symmetry   No. 123
Magnetization   0.000 μB per cell

---

6.
An optimized crystal structure of La6CoPtAu2. Source: Alexandria, functional GGA-PBE.

Unit cell a=7.140 b=7.833 c=12.978 alpha=90.00 beta=123.04 gamma=90.00
Atoms (fractional coordinates):
La 0.104 0.035 0.245
La 0.104 0.465 0.745
La 0.237 0.691 0.071
La 0.237 0.809 0.571
La 0.375 0.174 0.065
La 0.375 0.326 0.565
La 0.625 0.674 0.435
La 0.625 0.826 0.935
La 0.763 0.191 0.429
La 0.763 0.309 0.929
La 0.896 0.535 0.255
La 0.896 0.965 0.755
Co 0.000 0.000 0.000
Co 0.000 0.500 0.500
Pt 0.500 0.000 0.500
Pt 0.500 0.500 0.000
Au 0.302 0.108 0.751
Au 0.302 0.392 0.251
Au 0.698 0.608 0.749
Au 0.698 0.892 0.249

Computed properties:
Calculated formation energy   -58 kJ/mol of atoms
Symmetry   No. 14
Magnetization   0.000 μB per cell

---

7.
An optimized crystal structure of LaCdGa2. Source: Alexandria, functional GGA-PBE.

Unit cell a=14.589 b=4.431 c=11.607 alpha=90.00 beta=90.00 gamma=90.00
Atoms (fractional coordinates):
La 0.052 0.250 0.245
La 0.200 0.750 0.967
La 0.300 0.250 0.467
La 0.448 0.750 0.745
La 0.552 0.250 0.255
La 0.700 0.750 0.533
La 0.800 0.250 0.033
La 0.948 0.750 0.755
Cd 0.060 0.250 0.554
Cd 0.200 0.750 0.666
Cd 0.300 0.250 0.166
Cd 0.440 0.750 0.054
Cd 0.560 0.250 0.946
Cd 0.700 0.750 0.834
Cd 0.800 0.250 0.334
Cd 0.940 0.750 0.446
Ga 0.030 0.250 0.966
Ga 0.115 0.250 0.781
Ga 0.134 0.750 0.443
Ga 0.208 0.750 0.250
Ga 0.292 0.250 0.750
Ga 0.366 0.250 0.943
Ga 0.385 0.750 0.281
Ga 0.470 0.750 0.466
Ga 0.530 0.250 0.534
Ga 0.615 0.250 0.719
Ga 0.634 0.750 0.057
Ga 0.708 0.750 0.250
Ga 0.792 0.250 0.750
Ga 0.866 0.250 0.557
Ga 0.885 0.750 0.219
Ga 0.970 0.750 0.034

Computed properties:
Calculated formation energy   -51 kJ/mol of atoms
Symmetry   No. 62
Magnetization   0.000 μB per cell

---

8.
An optimized crystal structure of Dy4Sb2AsPb. Source: Alexandria, functional GGA-PBE.

Unit cell a=7.386 b=4.284 c=7.686 alpha=90.00 beta=108.91 gamma=90.00
Atoms (fractional coordinates):
Dy 0.238 0.000 0.234
Dy 0.247 0.500 0.763
Dy 0.753 0.500 0.237
Dy 0.762 0.000 0.766
Sb 0.500 0.000 0.000
Sb 0.500 0.500 0.500
As 0.000 0.500 0.000
Pb 0.000 0.000 0.500

Computed properties:
Raw formation energy   -8.0 eV/f.u.
Symmetry   No. 10
Magnetization   0.000 μB per cell

---

9.
An optimized crystal structure of Li2NpCrH8. Source: Alexandria, functional GGA-PBE.

Unit cell a=4.213 b=4.365 c=5.530 alpha=89.92 beta=72.08 gamma=89.43
Atoms (fractional coordinates):
Li 0.107 0.498 0.223
Li 0.893 0.502 0.777
Np 0.500 0.000 0.500
Cr 0.000 0.000 0.000
H 0.080 0.006 0.292
H 0.287 0.267 0.861
H 0.297 0.502 0.473
H 0.304 0.740 0.865
H 0.696 0.260 0.135
H 0.703 0.498 0.527
H 0.713 0.733 0.139
H 0.920 0.994 0.708

Computed properties:
Total energy   -4.5713 eV per atom
Symmetry   No. 2
Magnetization   1.000 μB per cell

---

10.
An optimized crystal structure of Tm2Ge4RuPt3. Source: Alexandria, functional GGA-PBE.

Unit cell a=4.111 b=4.111 c=10.820 alpha=90.00 beta=90.00 gamma=90.00
Atoms (fractional coordinates):
Tm 0.000 0.500 0.240
Tm 0.500 0.000 0.760
Ge 0.000 0.000 0.500
Ge 0.000 0.500 0.870
Ge 0.500 0.000 0.130
Ge 0.500 0.500 0.500
Ru 0.500 0.500 0.000
Pt 0.000 0.000 0.000
Pt 0.000 0.500 0.645
Pt 0.500 0.000 0.355

Computed properties:
Calculated formation energy   -79 kJ/mol of atoms
Symmetry   No. 115
Magnetization   0.000 μB per cell

---

11.
An optimized crystal structure of K2CoSi. Source: Alexandria, functional GGA-PBE.

Unit cell a=3.923 b=3.923 c=9.828 alpha=100.68 beta=100.68 gamma=59.97
Atoms (fractional coordinates):
K 0.000 0.000 0.000
K 0.164 0.164 0.533
Co 0.749 0.749 0.267
Si 0.415 0.415 0.267

Computed properties:
Raw formation energy   0.7 eV/f.u.
Symmetry   No. 8
Magnetization   0.000 μB per cell

---

12.
An optimized crystal structure of Pr6Ho8Sc. Source: Alexandria, functional GGA-PBE.

Unit cell a=8.709 b=8.709 c=8.709 alpha=62.93 beta=62.93 gamma=62.93
Atoms (fractional coordinates):
Pr 0.041 0.728 0.599
Pr 0.272 0.401 0.959
Pr 0.401 0.959 0.272
Pr 0.599 0.041 0.728
Pr 0.728 0.599 0.041
Pr 0.959 0.272 0.401
Ho 0.077 0.077 0.077
Ho 0.216 0.255 0.612
Ho 0.255 0.612 0.216
Ho 0.388 0.784 0.745
Ho 0.612 0.216 0.255
Ho 0.745 0.388 0.784
Ho 0.784 0.745 0.388
Ho 0.923 0.923 0.923
Sc 0.500 0.500 0.500

Computed properties:
Calculated formation energy   11 kJ/mol of atoms
Symmetry   No. 148
Magnetization   0.001 μB per cell

---

| no. | density of states at the Fermi level (states/eV/f.u.) |
| --- | --- |
| 1 | 3.72 |
| 2 | 7.07 |
| 3 | 2.35 |
| 4 | 15.73 |
| 5 | 2.11 |
| 6 | 11.09 |
| 7 | 1.68 |
| 8 | 3.39 |
| 9 | 5.57 |
| 10 | 4.49 |
| 11 | 2.28 |
| 12 | 22.31 |